Run 1
VASP calculation (PBE) on a geometry-optimized TcAsPSe2 structure.

Lattice parameters (Å, degrees): 4.788 4.788 4.861 90.00 90.00 90.00
Fractional positions:
Tc 0.000 0.000 0.000
As 0.000 0.000 0.500
P 0.500 0.500 0.500
Se 0.000 0.500 0.000
Se 0.500 0.000 0.000

Results
The value obtained for the magnetic moment is 0.00 μB per cell.

***

Run 2
VASP calculation (PBE) on a geometry-optimized TcAsPSe2 structure.

Lattice parameters (Å, degrees): 4.667 4.667 4.560 90.00 90.00 90.00
Fractional positions:
Tc 0.000 0.000 0.000
As 0.500 0.500 0.000
P 0.500 0.500 0.500
Se 0.000 0.500 0.500
Se 0.500 0.000 0.500

Results
The value obtained for the magnetic moment is 0.00 μB per cell.

***

Most stable structure - run 1; separation to the second - 349 meV/atom.